Here is a relaxed CoH2O2 crystal from OQMD via LeMat-Bulk. Energies are from PBE+U.

Cell lengths 4.814, 5.156, 3.092 Å; angles 90.00, 90.00, 90.00 degrees
Each line ends with the local moment (μB).
Atoms (fractional coordinates):
O 0.147 0.762 0.500  0.11
H 0.474 0.838 0.000  0.00
H 0.526 0.162 0.000  0.00
O 0.647 0.738 0.000  0.12
Co 0.500 0.500 0.500  2.73
O 0.853 0.238 0.500  0.11
H 0.026 0.338 0.500  0.00
O 0.353 0.262 0.000  0.12
H 0.974 0.662 0.500  0.00
Co 0.000 0.000 0.000  2.72

Computed properties:
VASP energy: -5.31 eV/atom
spin magnetization: 0.60 μB/atom
V: 7.67 Å³ per atom
polymorph energy (0 for the lowest one): 71.1 meV per atom